[1]
# LiCuTc2, relaxed, DFT PBE
# Distance to the lowest polymorph of the same formula, meV/atom: 0
# Formation energy from the elements, eV/atom: 0.17
# Calculated density, g cm⁻³: 8.1
# Crystal system: monoclinic
data_LiCuTc2
_chemical_formula_sum 'Li1 Cu1 Tc2'
_space_group_name_H-M_alt 'P 1 m 1'
_space_group_IT_number 6
_cell_length_a 2.5327
_cell_length_b 4.3160
_cell_length_c 5.0252
_cell_angle_alpha 90.00
_cell_angle_beta 96.36
_cell_angle_gamma 90.00
loop_
_space_group_symop_operation_xyz
'x,y,z'
'x,-y,z'
loop_
_atom_site_label
_atom_site_fract_x
_atom_site_fract_y
_atom_site_fract_z
Li1 0.0000 0.0000 0.0000
Cu1 0.1085 0.5000 0.7841
Tc1 0.4880 0.0000 0.4959
Tc2 0.6768 0.5000 0.2745

[2]
# LiCu2Tc, relaxed, DFT PBE
# Distance to the lowest polymorph of the same formula, meV/atom: 156
# Formation energy from the elements, eV/atom: 0.26
# Calculated density, g cm⁻³: 7.4
# Crystal system: monoclinic
data_LiCu2Tc
_chemical_formula_sum 'Li2 Cu4 Tc2'
_space_group_name_H-M_alt 'C 1 2/m 1'
_space_group_IT_number 12
_cell_length_a 8.7713
_cell_length_b 2.4829
_cell_length_c 4.8007
_cell_angle_alpha 90.00
_cell_angle_beta 96.57
_cell_angle_gamma 90.00
loop_
_space_group_symop_operation_xyz
'x,y,z'
'-x,-y,-z'
'-x,y,-z'
'x,-y,z'
'x+1/2,y+1/2,z'
'-x+1/2,-y+1/2,-z'
'-x+1/2,y+1/2,-z'
'x+1/2,-y+1/2,z'
loop_
_atom_site_label
_atom_site_fract_x
_atom_site_fract_y
_atom_site_fract_z
Li1 0.0000 0.0000 0.0000
Cu1 0.2468 0.0000 0.7530
Tc1 0.0000 0.5000 0.5000

[3]
# LiCu2Tc, relaxed, DFT PBE
# Distance to the lowest polymorph of the same formula, meV/atom: 46
# Formation energy from the elements, eV/atom: 0.15
# Calculated density, g cm⁻³: 7.3
# Crystal system: monoclinic
data_LiCu2Tc
_chemical_formula_sum 'Li2 Cu4 Tc2'
_space_group_name_H-M_alt 'C 1 m 1'
_space_group_IT_number 8
_cell_length_a 9.5344
_cell_length_b 2.5060
_cell_length_c 4.6094
_cell_angle_alpha 90.00
_cell_angle_beta 106.28
_cell_angle_gamma 90.00
loop_
_space_group_symop_operation_xyz
'x,y,z'
'x,-y,z'
'x+1/2,y+1/2,z'
'x+1/2,-y+1/2,z'
loop_
_atom_site_label
_atom_site_fract_x
_atom_site_fract_y
_atom_site_fract_z
Li1 0.0000 0.0000 0.0000
Cu1 0.0301 0.5000 0.5079
Cu2 0.2433 0.0000 0.8716
Tc1 0.2827 0.5000 0.3900

[4]
# LiCu2Tc, relaxed, DFT PBE
# Distance to the lowest polymorph of the same formula, meV/atom: 223
# Formation energy from the elements, eV/atom: 0.33
# Calculated density, g cm⁻³: 7.3
# Crystal system: cubic
data_LiCu2Tc
_chemical_formula_sum 'Li4 Cu8 Tc4'
_space_group_name_H-M_alt 'F m -3 m'
_space_group_IT_number 225
_space_group_name_Hall '-F 4 2 3'
_cell_length_a 5.9449
_cell_length_b 5.9449
_cell_length_c 5.9449
_cell_angle_alpha 90.00
_cell_angle_beta 90.00
_cell_angle_gamma 90.00
loop_
_atom_site_label
_atom_site_fract_x
_atom_site_fract_y
_atom_site_fract_z
Li1 0.0000 0.0000 0.0000
Cu1 0.2500 0.2500 0.2500
Tc1 0.0000 0.0000 0.5000

[5]
# LiCuTc2, relaxed, DFT PBE
# Distance to the lowest polymorph of the same formula, meV/atom: 33
# Formation energy from the elements, eV/atom: 0.20
# Calculated density, g cm⁻³: 8.0
# Crystal system: monoclinic
data_LiCuTc2
_chemical_formula_sum 'Li2 Cu2 Tc4'
_space_group_name_H-M_alt 'C 1 m 1'
_space_group_IT_number 8
_cell_length_a 8.8782
_cell_length_b 2.5027
_cell_length_c 4.9692
_cell_angle_alpha 90.00
_cell_angle_beta 93.70
_cell_angle_gamma 90.00
loop_
_space_group_symop_operation_xyz
'x,y,z'
'x,-y,z'
'x+1/2,y+1/2,z'
'x+1/2,-y+1/2,z'
loop_
_atom_site_label
_atom_site_fract_x
_atom_site_fract_y
_atom_site_fract_z
Li1 0.0000 0.0000 0.0000
Cu1 0.2480 0.0000 0.7976
Tc1 0.0154 0.5000 0.5019
Tc2 0.2550 0.5000 0.2899

[6]
# LiCuTc2, relaxed, DFT PBE
# Distance to the lowest polymorph of the same formula, meV/atom: 73
# Formation energy from the elements, eV/atom: 0.24
# Calculated density, g cm⁻³: 8.2
# Crystal system: tetragonal
data_LiCuTc2
_chemical_formula_sum 'Li2 Cu2 Tc4'
_space_group_name_H-M_alt 'I 4/m m m'
_space_group_IT_number 139
_space_group_name_Hall '-I 4 2'
_cell_length_a 3.5578
_cell_length_b 3.5578
_cell_length_c 8.4768
_cell_angle_alpha 90.00
_cell_angle_beta 90.00
_cell_angle_gamma 90.00
loop_
_atom_site_label
_atom_site_fract_x
_atom_site_fract_y
_atom_site_fract_z
Li1 0.0000 0.0000 0.0000
Cu1 0.0000 0.0000 0.5000
Tc1 0.0000 0.5000 0.2500

[7]
# LiCuTc2, relaxed, DFT PBE
# Distance to the lowest polymorph of the same formula, meV/atom: 372
# Formation energy from the elements, eV/atom: 0.54
# Calculated density, g cm⁻³: 7.5
# Crystal system: tetragonal
data_LiCuTc2
_chemical_formula_sum 'Li4 Cu4 Tc8'
_space_group_name_H-M_alt 'I -4 2 d'
_space_group_IT_number 122
_space_group_name_Hall 'I -4 2bw'
_cell_length_a 3.5171
_cell_length_b 3.5171
_cell_length_c 18.9690
_cell_angle_alpha 90.00
_cell_angle_beta 90.00
_cell_angle_gamma 90.00
loop_
_atom_site_label
_atom_site_fract_x
_atom_site_fract_y
_atom_site_fract_z
Li1 0.0000 0.0000 0.0000
Cu1 0.0000 0.0000 0.5000
Tc1 0.2404 0.2500 0.1250

[8]
# LiCuTc2, relaxed, DFT PBE
# Distance to the lowest polymorph of the same formula, meV/atom: 31
# Formation energy from the elements, eV/atom: 0.20
# Calculated density, g cm⁻³: 8.3
# Crystal system: tetragonal
data_LiCuTc2
_chemical_formula_sum 'Li2 Cu2 Tc4'
_space_group_name_H-M_alt 'I -4 m 2'
_space_group_IT_number 119
_space_group_name_Hall 'I -4 -2'
_cell_length_a 4.2364
_cell_length_b 4.2364
_cell_length_c 5.9485
_cell_angle_alpha 90.00
_cell_angle_beta 90.00
_cell_angle_gamma 90.00
loop_
_atom_site_label
_atom_site_fract_x
_atom_site_fract_y
_atom_site_fract_z
Li1 0.0000 0.0000 0.0000
Cu1 0.0000 0.5000 0.2500
Tc1 0.0000 0.0000 0.5000
Tc2 0.0000 0.5000 0.7500

[9]
# LiCuTc3, relaxed, DFT PBE
# Distance to the lowest polymorph of the same formula, meV/atom: 0
# Formation energy from the elements, eV/atom: 1.30
# Calculated density, g cm⁻³: 8.8
# Crystal system: cubic
data_LiCuTc3
_chemical_formula_sum 'Li1 Cu1 Tc3'
_space_group_name_H-M_alt 'P m -3 m'
_space_group_IT_number 221
_space_group_name_Hall '-P 4 2 3'
_cell_length_a 4.0964
_cell_length_b 4.0964
_cell_length_c 4.0964
_cell_angle_alpha 90.00
_cell_angle_beta 90.00
_cell_angle_gamma 90.00
loop_
_atom_site_label
_atom_site_fract_x
_atom_site_fract_y
_atom_site_fract_z
Li1 0.0000 0.0000 0.0000
Cu1 0.5000 0.5000 0.5000
Tc1 0.0000 0.0000 0.5000

[10]
# LiCuTc2, relaxed, DFT PBE
# Distance to the lowest polymorph of the same formula, meV/atom: 70
# Formation energy from the elements, eV/atom: 0.24
# Calculated density, g cm⁻³: 8.2
# Crystal system: orthorhombic
data_LiCuTc2
_chemical_formula_sum 'Li1 Cu1 Tc2'
_space_group_name_H-M_alt 'P m m m'
_space_group_IT_number 47
_cell_length_a 3.2212
_cell_length_b 3.8774
_cell_length_c 4.3218
_cell_angle_alpha 90.00
_cell_angle_beta 90.00
_cell_angle_gamma 90.00
loop_
_space_group_symop_operation_xyz
'x,y,z'
'-x,-y,-z'
'-x,-y,z'
'x,y,-z'
'x,-y,-z'
'-x,y,z'
'-x,y,-z'
'x,-y,z'
loop_
_atom_site_label
_atom_site_fract_x
_atom_site_fract_y
_atom_site_fract_z
Li1 0.0000 0.0000 0.0000
Cu1 0.5000 0.5000 0.0000
Tc1 0.0000 0.5000 0.5000
Tc2 0.5000 0.0000 0.5000

[11]
# LiCu2Tc, relaxed, DFT PBE
# Distance to the lowest polymorph of the same formula, meV/atom: 74
# Formation energy from the elements, eV/atom: 0.18
# Calculated density, g cm⁻³: 7.3
# Crystal system: orthorhombic
data_LiCu2Tc
_chemical_formula_sum 'Li1 Cu2 Tc1'
_space_group_name_H-M_alt 'P m m m'
_space_group_IT_number 47
_cell_length_a 2.4952
_cell_length_b 3.9237
_cell_length_c 5.3738
_cell_angle_alpha 90.00
_cell_angle_beta 90.00
_cell_angle_gamma 90.00
loop_
_space_group_symop_operation_xyz
'x,y,z'
'-x,-y,-z'
'-x,-y,z'
'x,y,-z'
'x,-y,-z'
'-x,y,z'
'-x,y,-z'
'x,-y,z'
loop_
_atom_site_label
_atom_site_fract_x
_atom_site_fract_y
_atom_site_fract_z
Li1 0.0000 0.0000 0.0000
Cu1 0.5000 0.5000 0.2558
Tc1 0.0000 0.0000 0.5000

[12]
# LiCu2Tc, relaxed, DFT PBE
# Distance to the lowest polymorph of the same formula, meV/atom: 79
# Formation energy from the elements, eV/atom: 0.18
# Calculated density, g cm⁻³: 7.2
# Crystal system: trigonal
data_LiCu2Tc
_chemical_formula_sum 'Li3 Cu6 Tc3'
_space_group_name_H-M_alt 'R -3 m'
_space_group_IT_number 166
_space_group_name_Hall '-R 3 2"'
_cell_length_a 2.6398
_cell_length_b 2.6398
_cell_length_c 26.4813
_cell_angle_alpha 90.00
_cell_angle_beta 90.00
_cell_angle_gamma 120.00
loop_
_atom_site_label
_atom_site_fract_x
_atom_site_fract_y
_atom_site_fract_z
Li1 0.0000 0.0000 0.0000
Cu1 0.0000 0.0000 0.2502
Tc1 0.0000 0.0000 0.5000

[13]
# LiCu2Tc, relaxed, DFT PBE
# Distance to the lowest polymorph of the same formula, meV/atom: 276
# Formation energy from the elements, eV/atom: 0.38
# Calculated density, g cm⁻³: 7.5
# Crystal system: tetragonal
data_LiCu2Tc
_chemical_formula_sum 'Li2 Cu4 Tc2'
_space_group_name_H-M_alt 'I -4 m 2'
_space_group_IT_number 119
_space_group_name_Hall 'I -4 -2'
_cell_length_a 3.7671
_cell_length_b 3.7671
_cell_length_c 7.2453
_cell_angle_alpha 90.00
_cell_angle_beta 90.00
_cell_angle_gamma 90.00
loop_
_atom_site_label
_atom_site_fract_x
_atom_site_fract_y
_atom_site_fract_z
Li1 0.0000 0.0000 0.0000
Cu1 0.0000 0.0000 0.5000
Cu2 0.0000 0.5000 0.2500
Tc1 0.0000 0.5000 0.7500

[14]
# LiCuTc2, relaxed, DFT PBE
# Distance to the lowest polymorph of the same formula, meV/atom: 11
# Formation energy from the elements, eV/atom: 0.18
# Calculated density, g cm⁻³: 8.2
# Crystal system: tetragonal
data_LiCuTc2
_chemical_formula_sum 'Li1 Cu1 Tc2'
_space_group_name_H-M_alt 'P 4 m m'
_space_group_IT_number 99
_cell_length_a 3.0542
_cell_length_b 3.0542
_cell_length_c 5.8033
_cell_angle_alpha 90.00
_cell_angle_beta 90.00
_cell_angle_gamma 90.00
loop_
_space_group_symop_operation_xyz
'x,y,z'
'-y,x,z'
'-x,-y,z'
'y,-x,z'
'-x,y,z'
'y,x,z'
'x,-y,z'
'-y,-x,z'
loop_
_atom_site_label
_atom_site_fract_x
_atom_site_fract_y
_atom_site_fract_z
Li1 0.0000 0.0000 0.0000
Cu1 0.5000 0.5000 0.7916
Tc1 0.0000 0.0000 0.5024
Tc2 0.5000 0.5000 0.2727

[15]
# LiCu4Tc, relaxed, DFT PBE
# Formation energy from the elements, eV/atom: 0.27
# Calculated density, g cm⁻³: 7.5
# Crystal system: cubic
data_LiCu4Tc
_chemical_formula_sum 'Li4 Cu16 Tc4'
_space_group_name_H-M_alt 'F -4 3 m'
_space_group_IT_number 216
_space_group_name_Hall 'F -4 2 3'
_cell_length_a 6.8150
_cell_length_b 6.8150
_cell_length_c 6.8150
_cell_angle_alpha 90.00
_cell_angle_beta 90.00
_cell_angle_gamma 90.00
loop_
_atom_site_label
_atom_site_fract_x
_atom_site_fract_y
_atom_site_fract_z
Li1 0.0000 0.0000 0.0000
Cu1 0.1252 0.1252 0.3748
Tc1 0.2500 0.2500 0.7500